5
Lattice="5.790 0.000 0.000 0.000 6.495 0.000 0.000 0.000 5.790" Properties=species:S:1:pos:R:3 comment="KRbZrCd2 | Alexandria via LeMat-Bulk | PBE-GGA | optimized geometry" density_g_cm3=3.360 e_tot_ev_per_fu=-9.27 spacegroup="P4/mmm, No. 123" pbc="T T T"
K 2.895 3.248 2.895
Rb 0.000 3.248 0.000
Zr 0.000 0.000 0.000
Cd 0.000 0.000 2.895
Cd 2.895 0.000 0.000


4
Lattice="-0.586 1.991 2.242 -3.397 1.079 -1.847 -1.995 -2.848 2.007" Properties=species:S:1:pos:R:3 comment="VCr2Si | Alexandria via LeMat-Bulk | PBE-GGA | optimized geometry" density_g_cm3=6.171 e_tot_ev_per_fu=-34.85 spacegroup="P4/mmm, No. 123" e_form_raw_ev_per_atom=-0.265 pbc="T T T"
Cr -0.997 -1.424 1.004
Cr -1.699 0.539 -0.923
Si -0.293 0.996 1.121
V -2.989 0.111 1.201


5
Lattice="3.773 0.000 0.000 0.000 3.773 0.000 0.000 0.000 5.211" Properties=species:S:1:pos:R:3 comment="TcOsSN2 | Alexandria via LeMat-Bulk | PBE-GGA | optimized geometry" e_above_lowest_polymorph_mev_per_atom=0 density_g_cm3=7.795 e_tot_ev_per_fu=-37.29 spacegroup="P4/mmm, No. 123" e_form_raw_ev_per_atom=1.016 pbc="T T T"
S 0.000 0.000 2.605
Os 0.000 0.000 0.000
Tc 1.887 1.887 2.605
N 0.000 1.887 0.000
N 1.887 0.000 0.000


4
Lattice="3.053 0.000 0.000 0.000 4.909 0.007 0.000 3.193 3.962" Properties=species:S:1:pos:R:3 comment="Si2TcAg | Alexandria via LeMat-Bulk | PBE-GGA | optimized geometry" e_above_lowest_polymorph_mev_per_atom=220 density_g_cm3=7.336 e_tot_ev_per_fu=-23.41 spacegroup="P2/m, No. 10" e_form_raw_ev_per_atom=0.162 pbc="T T T"
Ag 0.000 1.597 1.981
Si 0.000 0.000 0.000
Si 1.527 2.454 0.003
Tc 1.527 4.051 1.984


15
Lattice="8.033 0.000 0.000 -4.017 6.960 -0.029 0.000 -4.611 8.267" Properties=species:S:1:pos:R:3 comment="Cs3Y3SnS8 | Alexandria via LeMat-Bulk | PBE-GGA | optimized geometry" density_g_cm3=3.747 e_tot_ev_per_fu=-82.21 spacegroup="R-3m, No. 166" e_form_raw_ev_per_atom=-1.549 pbc="T T T"
Cs 0.000 0.000 0.000
Cs -2.008 3.480 -0.015
Cs 2.008 3.480 -0.015
Y 4.017 -2.306 4.133
Y 2.008 1.174 4.119
Y -2.008 1.174 4.119
Sn 0.000 -2.306 4.133
S 0.000 2.329 2.632
S 4.017 0.020 5.606
S 4.017 2.437 2.661
S 0.000 -0.088 5.577
S 6.119 -1.206 2.677
S -2.103 3.555 5.561
S 1.914 -1.206 2.677
S 2.103 3.555 5.561


6
Lattice="-3.362 0.303 2.601 -2.609 -0.767 -3.282 0.482 -8.588 1.624" Properties=species:S:1:pos:R:3 comment="ThTeP | Alexandria via LeMat-Bulk | PBE-GGA | optimized geometry" density_g_cm3=8.158 e_tot_ev_per_fu=-19.42 spacegroup="P4/nmm, No. 129" e_form_raw_ev_per_atom=-1.148 pbc="T T T"
Th -1.122 -6.733 1.080
Th -4.367 -2.319 -0.137
Te -1.312 -3.318 0.436
Te -4.176 -5.734 0.507
P -2.315 -9.088 -0.188
P -3.174 0.036 1.131


24
Lattice="-2.296 1.944 -2.186 -11.254 -9.617 3.264 0.672 11.660 9.664" Properties=species:S:1:pos:R:3 comment="La4Tb9Dy11 | Alexandria via LeMat-Bulk | PBE-GGA | optimized geometry" density_g_cm3=7.939 e_tot_ev_per_fu=-110.24 spacegroup="Cmmm, No. 65" pbc="T T T"
La -6.876 4.423 7.990
La -6.001 -0.435 2.751
La -9.248 0.192 6.717
La -3.630 3.796 4.024
Tb -8.192 -3.261 2.538
Tb -4.685 7.249 8.202
Tb -2.534 6.833 5.575
Tb -10.344 -2.846 5.166
Tb -9.400 4.292 10.523
Tb -3.478 -0.304 0.218
Tb -11.146 1.177 9.586
Tb -1.732 2.811 1.155
Tb -6.439 1.994 5.370
Dy -6.030 5.438 11.168
Dy -4.552 -3.395 1.760
Dy -10.354 -2.275 8.847
Dy -0.228 4.318 4.080
Dy -6.943 -1.926 5.577
Dy -3.639 3.969 7.350
Dy -9.359 -6.235 4.281
Dy -1.223 8.278 8.646
Dy 0.000 0.000 0.000
Dy -7.600 1.467 9.284
Dy -2.982 0.576 3.643


12
Lattice="6.230 1.102 0.101 1.098 6.313 0.370 0.097 0.626 9.600" Properties=species:S:1:pos:R:3 comment="RbMnCd2Cl8 | Alexandria via LeMat-Bulk | PBE-GGA | optimized geometry" density_g_cm3=2.956 e_tot_ev_per_fu=-40.55 spacegroup="P-1, No. 2" e_form_raw_ev_per_atom=-1.151 pbc="T T T"
Rb 0.049 0.313 4.800
Mn 0.000 0.000 0.000
Cd 2.742 3.241 7.779
Cd 4.683 4.800 2.292
Cl 2.034 5.035 2.048
Cl 5.764 6.458 9.781
Cl 4.815 2.322 1.941
Cl 5.391 3.006 8.024
Cl 1.661 1.583 0.291
Cl 2.610 5.719 8.131
Cl 5.014 5.451 4.579
Cl 2.411 2.590 5.493